The following is a PBE with a Hubbard U calculation of a relaxed structure of MnHgPbO4, from Alexandria via LeMat-Bulk.

The space group is Imma (No. 74) and the conventional cell measures 6.508, 6.789 and 9.511 Å, with angles of 90.00, 90.00 and 90.00 degrees. The distinct sites, in fractional coordinates, are Mn at (0.250, 0.250, 0.250), Hg at (0.000, 0.250, 0.648), Pb at (0.000, 0.000, 0.000), O at (0.000, 0.041, 0.233) and O at (0.227, 0.250, 0.011).

Its total energy is -38.0 eV/f.u.